[1]
This record from Alexandria describes a crystal of Ca2CoIrO6 relaxed with PBEsol. The functional is meta-GGA SCAN.

Calculated values
uncorrected formation energy = -1.999 eV per atom
SG = P2_1/c, No. 14

abc: 5.2310 5.4372 9.1121
angles: 90.00 124.77 90.00
Atoms (fractional coordinates):
Ca  0.2324  0.0603  0.2486
Ca  0.2324  0.4397  0.7486
Ca  0.7676  0.5603  0.2514
Ca  0.7676  0.9397  0.7514
Co  0.0000  0.0000  0.5000
Co  0.0000  0.5000  0.0000
Ir  0.5000  0.0000  0.0000
Ir  0.5000  0.5000  0.5000
O  0.1442  0.2057  0.9520
O  0.1442  0.2943  0.4520
O  0.2528  0.6963  0.9529
O  0.2528  0.8037  0.4529
O  0.3387  0.0258  0.7447
O  0.3387  0.4742  0.2447
O  0.6613  0.5258  0.7553
O  0.6613  0.9742  0.2553
O  0.7472  0.1963  0.5471
O  0.7472  0.3037  0.0471
O  0.8558  0.7057  0.5480
O  0.8558  0.7943  0.0480

[2]
This record from Alexandria describes a crystal of CaCoSnIr2 relaxed with PBEsol. The functional is meta-GGA SCAN.

Calculated values
formation energy = 2.35 eV/atom
SG = P4/mmm, No. 123

abc: 4.6795 4.6795 5.2232
angles: 90.00 90.00 90.00
Atoms (fractional coordinates):
Ca  0.0000  0.0000  0.0000
Co  0.5000  0.5000  0.5000
Sn  0.0000  0.0000  0.5000
Ir  0.0000  0.5000  0.0000
Ir  0.5000  0.0000  0.0000

[3]
This record from Alexandria describes a crystal of K2CaCo relaxed with PBEsol. The functional is meta-GGA SCAN.

Calculated values
formation energy = 0.57 eV/atom
ΔE to the lowest computed polymorph = 0 meV per atom
SG = P4mm, No. 99

abc: 3.7507 3.7507 10.7295
angles: 90.00 90.00 90.00
Atoms (fractional coordinates):
K  0.0000  0.0000  0.0000
K  0.5000  0.5000  0.3745
Ca  0.0000  0.0000  0.6787
Co  0.5000  0.5000  0.7817

[4]
This record from Alexandria describes a crystal of K2CaCo relaxed with PBEsol. The functional is meta-GGA SCAN.

Calculated values
formation energy = 0.66 eV/atom
ΔE to the lowest computed polymorph = 91 meV per atom
SG = F-43m, No. 216

abc: 5.6857 5.6857 5.6857
angles: 60.00 60.00 60.00
Atoms (fractional coordinates):
K  0.0000  0.0000  0.0000
K  0.2500  0.2500  0.2500
Ca  0.7500  0.7500  0.7500
Co  0.5000  0.5000  0.5000

[5]
This record from Alexandria describes a crystal of K2CaCo relaxed with PBEsol. The functional is meta-GGA SCAN.

Calculated values
formation energy = 0.60 eV/atom
ΔE to the lowest computed polymorph = 25 meV per atom
SG = Imm2, No. 44

abc: 7.7610 7.7610 7.7610
angles: 152.99 132.57 55.43
Atoms (fractional coordinates):
K  0.0000  0.0000  0.0000
K  0.6773  0.1773  0.5000
Ca  0.3424  0.3424  0.0000
Co  0.1980  0.6980  0.5000

[6]
This record from Alexandria describes a crystal of K2CaCo relaxed with PBEsol. The functional is meta-GGA SCAN.

Calculated values
formation energy = 0.65 eV/atom
ΔE to the lowest computed polymorph = 79 meV per atom
SG = I4/mmm, No. 139

abc: 6.9358 6.9358 6.9358
angles: 140.20 140.20 57.55
Atoms (fractional coordinates):
K  0.2500  0.7500  0.5000
K  0.7500  0.2500  0.5000
Ca  0.0000  0.0000  0.0000
Co  0.5000  0.5000  0.0000

[7]
This record from Alexandria describes a crystal of CaLa3Co relaxed with PBEsol. The functional is meta-GGA SCAN.

Calculated values
formation energy = 0.01 eV/atom
SG = Pm-3m, No. 221

abc: 5.4454 5.4454 5.4454
angles: 90.00 90.00 90.00
Atoms (fractional coordinates):
Ca  0.0000  0.0000  0.0000
La  0.0000  0.5000  0.5000
La  0.5000  0.0000  0.5000
La  0.5000  0.5000  0.0000
Co  0.5000  0.5000  0.5000

[8]
This record from Alexandria describes a crystal of CaLa4Co relaxed with PBEsol. The functional is meta-GGA SCAN.

Calculated values
formation energy = 0.64 eV/atom
SG = F-43m, No. 216

abc: 6.4243 6.4243 6.4243
angles: 60.00 60.00 60.00
Atoms (fractional coordinates):
Ca  0.0000  0.0000  0.0000
La  0.1321  0.6226  0.6226
La  0.6226  0.1321  0.6226
La  0.6226  0.6226  0.1321
La  0.6226  0.6226  0.6226
Co  0.2500  0.2500  0.2500

[9]
This record from Alexandria describes a crystal of CaLaCo4 relaxed with PBEsol. The functional is meta-GGA SCAN.

Calculated values
formation energy = 0.17 eV/atom
SG = F-43m, No. 216

abc: 5.0256 5.0256 5.0256
angles: 60.00 60.00 60.00
Atoms (fractional coordinates):
Ca  0.0000  0.0000  0.0000
La  0.2500  0.2500  0.2500
Co  0.1252  0.6249  0.6249
Co  0.6249  0.1252  0.6249
Co  0.6249  0.6249  0.1252
Co  0.6249  0.6249  0.6249

[10]
This record from Alexandria describes a crystal of NaCa2LaCo relaxed with PBEsol. The functional is meta-GGA SCAN.

Calculated values
formation energy = 0.09 eV/atom
SG = P4/mmm, No. 123

abc: 5.6617 5.6617 4.9961
angles: 90.00 90.00 90.00
Atoms (fractional coordinates):
Na  0.0000  0.0000  0.0000
Ca  0.0000  0.5000  0.5000
Ca  0.5000  0.0000  0.5000
La  0.5000  0.5000  0.0000
Co  0.5000  0.5000  0.5000

[11]
This record from Alexandria describes a crystal of CaLaNbCoO6 relaxed with PBEsol. The functional is meta-GGA SCAN.

Calculated values
uncorrected formation energy = -2.871 eV per atom
SG = Pc, No. 7

abc: 5.4567 5.5639 9.4326
angles: 90.00 125.07 90.00
Atoms (fractional coordinates):
Ca  0.0000  0.2012  0.0000
Ca  0.0000  0.7988  0.5000
La  0.4774  0.2910  0.4970
La  0.4774  0.7090  0.9970
Nb  0.7358  0.2465  0.2469
Nb  0.7358  0.7535  0.7469
Co  0.2369  0.2524  0.7485
Co  0.2369  0.7476  0.2485
O  0.0675  0.0349  0.2881
O  0.0675  0.9651  0.7881
O  0.3984  0.4551  0.2048
O  0.3984  0.5449  0.7048
O  0.4834  0.0415  0.7075
O  0.4834  0.9585  0.2075
O  0.5691  0.2679  0.9950
O  0.5691  0.7321  0.4950
O  0.9145  0.2269  0.5012
O  0.9145  0.7731  0.0012
O  0.9865  0.4589  0.7927
O  0.9865  0.5411  0.2927

[12]
This record from Alexandria describes a crystal of CaLa3Co2O8 relaxed with PBEsol. The functional is meta-GGA SCAN.

Calculated values
uncorrected formation energy = -2.890 eV per atom
SG = Pm, No. 6

abc: 5.2658 5.2603 6.8293
angles: 90.00 112.67 90.00
Atoms (fractional coordinates):
Ca  0.0000  0.0000  0.0000
La  0.2186  0.5000  0.4361
La  0.4983  0.5000  0.9955
La  0.7216  0.0000  0.4420
Co  0.3653  0.0000  0.7295
Co  0.8674  0.5000  0.7337
O  0.0337  0.5000  0.0673
O  0.1092  0.2503  0.7173
O  0.1092  0.7497  0.7173
O  0.1853  0.0000  0.3687
O  0.5356  0.0000  0.0684
O  0.6091  0.2503  0.7172
O  0.6091  0.7497  0.7172
O  0.6832  0.5000  0.3659

Number 1: calculated volume 10.64 A^3/atom, D(E_F) 4.2 states/eV per cell. Number 2: calculated volume 22.88 A^3/atom, D(E_F) 3.9 states/eV per cell. Number 3: calculated volume 37.74 A^3/atom, D(E_F) 4.1 states/eV per cell. Number 4: calculated volume 32.49 A^3/atom, D(E_F) 2.2 states/eV per cell. Number 5: calculated volume 38.87 A^3/atom, D(E_F) 2.6 states/eV per cell. Number 6: calculated volume 33.89 A^3/atom, D(E_F) 2.7 states/eV per cell. Number 7: calculated volume 32.29 A^3/atom, D(E_F) 5.9 states/eV per cell. Number 8: calculated volume 31.25 A^3/atom, D(E_F) 6.9 states/eV per cell. Number 9: calculated volume 14.96 A^3/atom, D(E_F) 8.0 states/eV per cell. Number 10: calculated volume 32.03 A^3/atom, D(E_F) 3.3 states/eV per cell. Number 11: calculated volume 11.72 A^3/atom, D(E_F) 1.8 states/eV per cell. Number 12: calculated volume 12.47 A^3/atom, D(E_F) 2.4 states/eV per cell.